MgGaCu2 | PBE | relaxed

a b c (Å): 4.140 4.140 3.370
angles (deg): 90.00 90.00 90.00
Atoms (fractional coordinates):
Mg 0.000 0.000 0.000
Ga 0.500 0.500 0.000
Cu 0.000 0.500 0.500
Cu 0.500 0.000 0.500

SG   P4/mmm

---

Mg3Ga2Cu | PBE | relaxed

a b c (Å): 10.729 4.333 9.544
angles (deg): 90.00 90.00 90.00
Atoms (fractional coordinates):
Mg 0.037 0.250 0.124
Mg 0.144 0.750 0.601
Mg 0.212 0.250 0.833
Mg 0.288 0.750 0.333
Mg 0.356 0.250 0.101
Mg 0.463 0.750 0.624
Mg 0.537 0.250 0.376
Mg 0.644 0.750 0.899
Mg 0.712 0.250 0.667
Mg 0.788 0.750 0.167
Mg 0.856 0.250 0.399
Mg 0.963 0.750 0.876
Ga 0.017 0.750 0.320
Ga 0.189 0.750 0.038
Ga 0.311 0.250 0.538
Ga 0.483 0.250 0.820
Ga 0.517 0.750 0.180
Ga 0.689 0.750 0.462
Ga 0.811 0.250 0.962
Ga 0.983 0.250 0.680
Cu 0.112 0.250 0.407
Cu 0.388 0.750 0.907
Cu 0.612 0.250 0.093
Cu 0.888 0.750 0.593

E above lowest polymorph   0.0000 eV per atom
SG   Pnma

---

Mg3GaCu | PBE | relaxed

a b c (Å): 4.890 4.890 4.890
angles (deg): 90.00 90.00 90.00
Atoms (fractional coordinates):
Mg 0.000 0.000 0.500
Mg 0.000 0.500 0.000
Mg 0.500 0.000 0.000
Ga 0.500 0.500 0.500
Cu 0.000 0.000 0.000

E above lowest polymorph   0.1961 eV per atom
SG   Pm-3m

---

Mg2GaCu | PBE | relaxed

a b c (Å): 5.405 4.315 6.332
angles (deg): 90.00 107.28 90.00
Atoms (fractional coordinates):
Mg 0.142 0.250 0.414
Mg 0.216 0.250 0.926
Mg 0.784 0.750 0.074
Mg 0.858 0.750 0.586
Ga 0.353 0.750 0.245
Ga 0.647 0.250 0.755
Cu 0.385 0.750 0.680
Cu 0.615 0.250 0.320

SG   P2_1/m

---

Listing formation enthalpy at 0 K for the structures above in their given order: -114; -140; 166; -151 meV/atom.